(1)
Density functional theory data (PBE with a Hubbard U) for a relaxed Na2LiMnF6 crystal.

The structure belongs to space group P2_1/c (No. 14); the cell edges are 5.3883, 5.5513 and 9.3856 Å and the angles 90.00°, 124.93° and 90.00°. The asymmetric unit holds Na at (0.2354, 0.0554, 0.2499), Li at (0.0000, 0.0000, 0.5000), Mn at (0.5000, 0.0000, 0.0000), F at (0.1652, 0.1945, 0.9534), F at (0.2587, 0.7144, 0.9488) and F at (0.3518, 0.0279, 0.7580).

The calculation puts the total energy at -0.18094 Ha/atom.

---

(2)
Density functional theory data (PBE with a Hubbard U) for a relaxed Na2LiMnF6 crystal.

The structure belongs to space group Fm-3m (No. 225); the cell edges are 7.7795, 7.7795 and 7.7795 Å and the angles 90.00°, 90.00° and 90.00°. The asymmetric unit holds Na at (0.2500, 0.2500, 0.2500), Li at (0.0000, 0.0000, 0.0000), Mn at (0.0000, 0.0000, 0.5000) and F at (0.0000, 0.0000, 0.2557).

The calculation puts the total energy at -0.17554 Ha/atom.

---

(3)
Density functional theory data (PBE with a Hubbard U) for a relaxed NaLi2MnF8 crystal.

The structure belongs to space group I-4m2 (No. 119); the cell edges are 6.5863, 6.5863 and 6.8391 Å and the angles 90.00°, 90.00° and 90.00°. The asymmetric unit holds Na at (0.0000, 0.0000, 0.0000), Li at (0.0000, 0.0000, 0.5000), Li at (0.0000, 0.5000, 0.2500), Mn at (0.0000, 0.5000, 0.7500), F at (0.0000, 0.2196, 0.6974) and F at (0.0000, 0.3353, 0.0289).

The calculation puts the total energy at -0.16328 Ha/atom.

---

(4)
Density functional theory data (PBE with a Hubbard U) for a relaxed NaLiMn2F8 crystal.

The structure belongs to space group P-3 (No. 147); the cell edges are 5.2975, 5.2975 and 6.1168 Å and the angles 90.00°, 90.00° and 120.00°. The asymmetric unit holds Na at (0.0000, 0.0000, 0.0000), Li at (0.0000, 0.0000, 0.5000), Mn at (0.3333, 0.6667, 0.6179), F at (0.0522, 0.7001, 0.3473) and F at (0.3333, 0.6667, 0.9118).

The calculation puts the total energy at -0.18956 Ha/atom.

---

What did the second record say?
Density functional theory data (PBE with a Hubbard U) for a relaxed Na2LiMnF6 crystal.

The structure belongs to space group Fm-3m (No. 225); the cell edges are 7.7795, 7.7795 and 7.7795 Å and the angles 90.00°, 90.00° and 90.00°. The asymmetric unit holds Na at (0.2500, 0.2500, 0.2500), Li at (0.0000, 0.0000, 0.0000), Mn at (0.0000, 0.0000, 0.5000) and F at (0.0000, 0.0000, 0.2557).

The calculation puts the total energy at -0.17554 Ha/atom.